No. 1
# PmAl5 PBE optimized geometry
data_PmAl5
_cell_length_a 4.288
_cell_length_b 12.513
_cell_length_c 4.308
_cell_angle_alpha 90.00
_cell_angle_beta 90.00
_cell_angle_gamma 90.00
_space_group_name_H-M_alt 'C m m m'
_space_group_IT_number 65
_space_group_name_Hall '-C 2 2'
loop_
_atom_site_label
_atom_site_type_symbol
_atom_site_fract_x
_atom_site_fract_y
_atom_site_fract_z
_atom_site_occupancy
Pm1 Pm 0.000 0.000 0.000 1
Al1 Al 0.000 0.175 0.500 1
Al2 Al 0.000 0.320 0.000 1
Al3 Al 0.000 0.500 0.500 1
# **Energy of formation**: -0.220 eV/atom
# **DOS(E_F)**: 0.24 states/eV per atom
# **ρ**: 4.0 g/cm3

No. 2
# Pm5Al3 PBE optimized geometry
data_Pm5Al3
_cell_length_a 8.6313
_cell_length_b 8.6313
_cell_length_c 3.3817
_cell_angle_alpha 90.00
_cell_angle_beta 90.00
_cell_angle_gamma 120.00
_space_group_name_H-M_alt 'P -6 2 m'
_space_group_IT_number 189
_space_group_name_Hall 'P -6 -2'
loop_
_atom_site_label
_atom_site_type_symbol
_atom_site_fract_x
_atom_site_fract_y
_atom_site_fract_z
_atom_site_occupancy
Pm1 Pm 0.0000 0.2453 0.0000 1
Pm2 Pm 0.3333 0.6667 0.0000 1
Al1 Al 0.0000 0.6208 0.5000 1
# **Energy of formation**: -0.206 eV/atom
# **DOS(E_F)**: 0.97 states/eV per atom
# **ρ**: 6.1 g/cm3

No. 3
# Pm5Al PBE optimized geometry
data_Pm5Al
_cell_length_a 4.899
_cell_length_b 15.360
_cell_length_c 4.906
_cell_angle_alpha 90.00
_cell_angle_beta 90.00
_cell_angle_gamma 90.00
_space_group_name_H-M_alt 'C m m m'
_space_group_IT_number 65
_space_group_name_Hall '-C 2 2'
loop_
_atom_site_label
_atom_site_type_symbol
_atom_site_fract_x
_atom_site_fract_y
_atom_site_fract_z
_atom_site_occupancy
Pm1 Pm 0.000 0.000 0.000 1
Pm2 Pm 0.000 0.160 0.500 1
Pm3 Pm 0.000 0.340 0.000 1
Al1 Al 0.000 0.500 0.500 1
# **Energy of formation**: -0.078 eV/atom
# **DOS(E_F)**: 1.31 states/eV per atom
# **ρ**: 6.8 g/cm3

No. 4
# PmAl3 PBE optimized geometry
data_PmAl3
_cell_length_a 7.703
_cell_length_b 4.372
_cell_length_c 5.778
_cell_angle_alpha 90.00
_cell_angle_beta 115.50
_cell_angle_gamma 90.00
_space_group_name_H-M_alt 'C 1 2/m 1'
_space_group_IT_number 12
loop_
_space_group_symop_operation_xyz
'x,y,z'
'-x,-y,-z'
'-x,y,-z'
'x,-y,z'
'x+1/2,y+1/2,z'
'-x+1/2,-y+1/2,-z'
'-x+1/2,y+1/2,-z'
'x+1/2,-y+1/2,z'
loop_
_atom_site_label
_atom_site_type_symbol
_atom_site_fract_x
_atom_site_fract_y
_atom_site_fract_z
_atom_site_occupancy
Pm1 Pm 0.000 0.000 0.000 1
Al1 Al 0.000 0.500 0.500 1
Al2 Al 0.215 0.000 0.639 1
# **Energy of formation**: -0.285 eV/atom
# **DOS(E_F)**: 0.50 states/eV per atom
# **ρ**: 4.3 g/cm3

No. 5
# Pm4PrAl2 PBE optimized geometry
data_Pm4PrAl2
_cell_length_a 6.209
_cell_length_b 10.628
_cell_length_c 6.960
_cell_angle_alpha 90.00
_cell_angle_beta 111.28
_cell_angle_gamma 90.00
_space_group_name_H-M_alt 'P 1 21/c 1'
_space_group_IT_number 14
loop_
_space_group_symop_operation_xyz
'x,y,z'
'-x,-y,-z'
'-x,y+1/2,-z+1/2'
'x,-y+1/2,z+1/2'
loop_
_atom_site_label
_atom_site_type_symbol
_atom_site_fract_x
_atom_site_fract_y
_atom_site_fract_z
_atom_site_occupancy
Pm1 Pm 0.001 0.159 0.000 1
Pm2 Pm 0.499 0.709 0.999 1
Pr1 Pr 0.000 0.000 0.500 1
Al1 Al 0.478 0.000 0.177 1
# **Energy of formation**: -0.086 eV/atom
# **DOS(E_F)**: 0.96 states/eV per atom
# **ρ**: 6.0 g/cm3

No. 6
# PmPrAl4 PBE optimized geometry
data_PmPrAl4
_cell_length_a 8.045
_cell_length_b 8.045
_cell_length_c 8.045
_cell_angle_alpha 90.00
_cell_angle_beta 90.00
_cell_angle_gamma 90.00
_space_group_name_H-M_alt 'F -4 3 m'
_space_group_IT_number 216
_space_group_name_Hall 'F -4 2 3'
loop_
_atom_site_label
_atom_site_type_symbol
_atom_site_fract_x
_atom_site_fract_y
_atom_site_fract_z
_atom_site_occupancy
Pm1 Pm 0.000 0.000 0.000 1
Pr1 Pr 0.250 0.250 0.750 1
Al1 Al 0.125 0.125 0.375 1
# **Energy of formation**: -0.495 eV/atom
# **DOS(E_F)**: 0.87 states/eV per atom
# **ρ**: 5.0 g/cm3